Density functional theory data (GGA-PBE) for SeN after structural relaxation.

Unit cell a=12.196 b=12.196 c=2.824 alpha=90.00 beta=90.00 gamma=90.00
Positions (direct):
Se 0.821 0.395 0.500
Se 0.179 0.605 0.500
Se 0.605 0.821 0.500
Se 0.395 0.179 0.500
Se 0.821 0.707 0.000
Se 0.179 0.293 0.000
Se 0.293 0.821 0.000
Se 0.707 0.179 0.000
N 0.722 0.674 0.500
N 0.278 0.326 0.500
N 0.326 0.722 0.500
N 0.674 0.278 0.500
N 0.892 0.330 0.000
N 0.108 0.670 0.000
N 0.670 0.892 0.000
N 0.330 0.108 0.000

## Properties
energy relative to the elements, uncorrected = 1.0636 eV per atom
volume = 420.0 Å³ per cell